Arrangement a

{
  "formula": "LaPuNi2",
  "functional": "PBE",
  "state": "relaxed",
  "lattice": [[4.522, 0.000, 0.000], [-2.261, 3.916, 0.000], [0.000, 0.000, 14.476]],
  "species": ["La", "La", "La", "Pu", "Pu", "Pu", "Ni", "Ni", "Ni", "Ni", "Ni", "Ni"],
  "frac_coords": [[0.000, 0.000, 0.000], [0.333, 0.667, 0.667], [0.667, 0.333, 0.333], [0.000, 0.000, 0.500], [0.333, 0.667, 0.167], [0.667, 0.333, 0.833], [0.000, 0.000, 0.219], [0.000, 0.000, 0.781], [0.333, 0.667, 0.448], [0.333, 0.667, 0.886], [0.667, 0.333, 0.114], [0.667, 0.333, 0.552]],
  "magnetic_moment_mub_per_fu": 5.3,
  "n_ef_per_ev_cell": 33.743
}

Arrangement b

{
  "formula": "LaPuNi2",
  "functional": "PBE",
  "state": "relaxed",
  "lattice": [[3.474, 0.000, 0.000], [0.000, 3.474, 0.000], [0.000, 0.000, 6.779]],
  "species": ["La", "Pu", "Ni", "Ni"],
  "frac_coords": [[0.000, 0.000, 0.000], [0.000, 0.000, 0.500], [0.500, 0.500, 0.286], [0.500, 0.500, 0.714]],
  "magnetic_moment_mub_per_fu": 5.5,
  "n_ef_per_ev_cell": 13.155
}

Which structure is the most stable? The one labeled arrangement b.

Arrangement a

{
  "formula": "La2PuNi",
  "functional": "PBE",
  "state": "relaxed",
  "lattice": [[3.573, 0.000, 0.000], [0.000, 3.573, 0.000], [0.000, 0.000, 8.544]],
  "species": ["La", "La", "Pu", "Ni"],
  "frac_coords": [[0.000, 0.000, 0.201], [0.000, 0.000, 0.799], [0.500, 0.500, 0.500], [0.500, 0.500, 0.000]],
  "magnetic_moment_mub_per_fu": 6.8,
  "n_ef_per_ev_cell": 8.894
}

Arrangement b

{
  "formula": "La2PuNi",
  "functional": "PBE",
  "state": "relaxed",
  "lattice": [[3.698, 0.000, 0.000], [-1.849, 3.203, 0.000], [0.000, 0.000, 30.978]],
  "species": ["La", "La", "La", "La", "La", "La", "Pu", "Pu", "Pu", "Ni", "Ni", "Ni"],
  "frac_coords": [[0.000, 0.000, 0.108], [0.000, 0.000, 0.892], [0.333, 0.667, 0.558], [0.333, 0.667, 0.775], [0.667, 0.333, 0.225], [0.667, 0.333, 0.442], [0.000, 0.000, 0.000], [0.333, 0.667, 0.667], [0.667, 0.333, 0.333], [0.000, 0.000, 0.500], [0.333, 0.667, 0.167], [0.667, 0.333, 0.833]],
  "magnetic_moment_mub_per_fu": 6.5,
  "n_ef_per_ev_cell": 36.509
}

Which structure is the most stable? The one labeled arrangement a.